[1]
BeFePt (PBE, optimized geometry); space-group type = No. 63; energy above the most stable polymorph in this dataset = 0.000 eV/atom
1.0
3.9295 0.0000 0.0000
0.0000 9.3925 0.0000
0.0000 0.0000 3.7941
Be Fe Pt
4 4 4
direct
0.0000 0.2478 0.2500 Be
0.0000 0.7522 0.7500 Be
0.5000 0.7478 0.2500 Be
0.5000 0.2522 0.7500 Be
0.0000 0.9131 0.2500 Fe
0.0000 0.0869 0.7500 Fe
0.5000 0.4131 0.2500 Fe
0.5000 0.5869 0.7500 Fe
0.0000 0.6076 0.2500 Pt
0.0000 0.3924 0.7500 Pt
0.5000 0.1076 0.2500 Pt
0.5000 0.8924 0.7500 Pt

[2]
Be2Fe2Pt (PBE, optimized geometry); space-group type = No. 127
1.0
6.1339 0.0000 0.0000
0.0000 6.1339 0.0000
0.0000 0.0000 2.8450
Be Fe Pt
4 4 2
direct
0.3731 0.8731 0.0000 Be
0.8731 0.6269 0.0000 Be
0.6269 0.1269 0.0000 Be
0.1269 0.3731 0.0000 Be
0.1633 0.6633 0.5000 Fe
0.6633 0.8367 0.5000 Fe
0.8367 0.3367 0.5000 Fe
0.3367 0.1633 0.5000 Fe
0.0000 0.0000 0.0000 Pt
0.5000 0.5000 0.0000 Pt

[3]
BeFePt3 (PBE, optimized geometry); space-group type = No. 221; energy above the most stable polymorph in this dataset = 0.000 eV/atom
1.0
-1.7601 -3.6058 1.2539
0.1475 -1.4440 -3.9453
3.8148 -1.6078 0.7311
Be Fe Pt
1 1 3
direct
0.0000 0.0000 0.0000 Be
0.5000 0.5000 0.5000 Fe
0.0000 0.5000 0.0000 Pt
0.0000 0.0000 0.5000 Pt
0.5000 0.0000 0.0000 Pt

[4]
BeFePt (PBE, optimized geometry); space-group type = No. 156; energy above the most stable polymorph in this dataset = 0.313 eV/atom
1.0
2.6946 0.0000 0.0000
-1.3473 2.3336 0.0000
0.0000 0.0000 5.9004
Be Fe Pt
1 1 1
direct
0.0000 0.0000 0.0021 Be
0.6667 0.3333 0.3094 Fe
0.3333 0.6667 0.6885 Pt

Number 1: calculated volume 11.67 Å³/atom, E_form -425 meV/atom, raw total energy -6.50 eV per atom. Number 2: calculated volume 10.70 Å³/atom, E_form -235 meV/atom, raw total energy -6.32 eV per atom. Number 3: calculated volume 14.86 Å³/atom, E_form 86 meV/atom, raw total energy -5.98 eV per atom. Number 4: calculated volume 12.37 Å³/atom, E_form -112 meV/atom, raw total energy -6.19 eV per atom.